Entry from Alexandria: crystalline TeBrO2 at its relaxed geometry (GGA-PBE).

## Properties
theoretical density: 3.5 Mg/m³
calculated volume: 28.1 Å³ per atom
SG: P-1 (2)
energy relative to the elements, uncorrected: -2.523 eV per formula unit
calculated total energy: -4.31 eV/atom
polymorph energy (0 for the lowest one): 0.000 eV per atom
M_tot: 0.000 μB/f.u.

Structure (POSCAR):
```
TeBrO2
1.0
5.290 0.000 0.000
1.433 6.450 0.000
0.023 0.002 13.167
Te Br O
4 4 8
direct
0.250 0.000 0.061
0.250 0.500 0.439
0.750 0.000 0.939
0.750 0.500 0.561
0.038 0.254 0.196
0.461 0.745 0.195
0.539 0.255 0.805
0.962 0.746 0.804
0.022 0.165 0.955
0.121 0.323 0.534
0.378 0.678 0.533
0.479 0.836 0.955
0.521 0.164 0.045
0.622 0.322 0.467
0.879 0.677 0.466
0.978 0.835 0.045
```

---

Entry from Alexandria: crystalline RbZrAg2Br8 at its relaxed geometry (GGA-PBE).

## Properties
theoretical density: 4.0 Mg/m³
calculated volume: 35.9 Å³ per atom
SG: P-1 (2)
energy relative to the elements, uncorrected: -11.664 eV per formula unit
calculated total energy: -3.36 eV/atom
M_tot: 0.000 μB/f.u.

Structure (POSCAR):
```
RbZrAg2Br8
1.0
6.690 0.000 0.000
0.784 7.134 0.000
1.562 2.442 9.032
Rb Zr Ag Br
1 1 2 8
direct
0.000 0.000 0.000
0.000 0.500 0.500
0.435 0.499 0.204
0.565 0.501 0.796
0.129 0.511 0.749
0.233 0.783 0.343
0.298 0.237 0.459
0.495 0.225 0.049
0.505 0.775 0.951
0.702 0.763 0.541
0.767 0.217 0.657
0.871 0.489 0.251
```

---

Entry from Alexandria: crystalline CeGdRu2 at its relaxed geometry (GGA-PBE).

## Properties
theoretical density: 10.2 Mg/m³
calculated volume: 20.4 Å³ per atom
SG: P4/mmm (123)
ΔE_f: -342 meV per atom
calculated total energy: -9.98 eV/atom
polymorph energy (0 for the lowest one): 0.000 eV per atom
M_tot: 6.998 μB/f.u.

Structure (POSCAR):
```
CeGdRu2
1.0
3.439 0.000 0.000
0.000 3.439 0.000
0.000 0.000 6.902
Ce Gd Ru
1 1 2
direct
0.000 0.000 0.000
0.000 0.000 0.500
0.500 0.500 0.231
0.500 0.500 0.769
```

---

Entry from Alexandria: crystalline EuGdTm2 at its relaxed geometry (GGA-PBE).

## Properties
theoretical density: 8.2 Mg/m³
calculated volume: 32.7 Å³ per atom
SG: Fm-3m (225)
ΔE_f: 144 meV per atom
calculated total energy: -8.18 eV/atom
polymorph energy (0 for the lowest one): 0.000 eV per atom
M_tot: 0.602 μB/f.u.

Structure (POSCAR):
```
EuGdTm2
1.0
0.000 4.028 4.028
4.028 0.000 4.028
4.028 4.028 0.000
Eu Gd Tm
1 1 2
direct
0.000 0.000 0.000
0.500 0.500 0.500
0.250 0.250 0.250
0.750 0.750 0.750
```

---

Entry from Alexandria: crystalline KBeAu at its relaxed geometry (GGA-PBE).

## Properties
theoretical density: 3.9 Mg/m³
calculated volume: 34.6 Å³ per atom
SG: F-43m (216)
ΔE_f: 1006 meV per atom
calculated total energy: -1.69 eV/atom
polymorph energy (0 for the lowest one): 1.054 eV per atom
M_tot: 0.000 μB/f.u.

Structure (POSCAR):
```
KBeAu
1.0
0.000 3.729 3.729
3.729 0.000 3.729
3.729 3.729 0.000
K Be Au
1 1 1
direct
0.000 0.000 0.000
0.250 0.250 0.250
0.750 0.750 0.750
```

---

Entry from Alexandria: crystalline Ge2BNF at its relaxed geometry (GGA-PBE).

## Properties
theoretical density: 4.5 Mg/m³
calculated volume: 14.0 Å³ per atom
SG: P4/mmm (123)
energy relative to the elements, uncorrected: -0.070 eV per formula unit
calculated total energy: -5.24 eV/atom
M_tot: 0.000 μB/f.u.

Structure (POSCAR):
```
Ge2BNF
1.0
5.057 0.000 0.000
0.000 5.057 0.000
0.000 0.000 2.734
Ge B N F
2 1 1 1
direct
0.000 0.500 0.000
0.500 0.000 0.000
0.000 0.000 0.000
0.000 0.000 0.500
0.500 0.500 0.500
```

---

Entry from Alexandria: crystalline BeVHPd2 at its relaxed geometry (GGA-PBE).

## Properties
theoretical density: 7.6 Mg/m³
calculated volume: 12.0 Å³ per atom
SG: P4/mmm (123)
calculated total energy: -5.02 eV/atom
M_tot: 0.000 μB/f.u.

Structure (POSCAR):
```
BeVHPd2
1.0
4.679 0.000 0.000
0.000 4.679 0.000
0.000 0.000 2.733
Be V H Pd
1 1 1 2
direct
0.000 0.000 0.000
0.500 0.500 0.500
0.000 0.000 0.500
0.000 0.500 0.000
0.500 0.000 0.000
```

---

Entry from Alexandria: crystalline Ba12InGa5 at its relaxed geometry (GGA-PBE).

## Properties
theoretical density: 4.4 Mg/m³
calculated volume: 44.4 Å³ per atom
SG: Immm (71)
ΔE_f: -230 meV per atom
calculated total energy: -2.50 eV/atom
M_tot: 1.705 μB/f.u.

Structure (POSCAR):
```
Ba12InGa5
1.0
-5.581 5.887 6.085
5.581 -5.887 6.085
5.581 5.887 -6.085
Ba In Ga
12 1 5
direct
0.062 0.244 0.818
0.174 0.267 0.441
0.174 0.733 0.906
0.337 0.019 0.682
0.337 0.654 0.318
0.426 0.244 0.182
0.574 0.756 0.818
0.663 0.346 0.682
0.663 0.981 0.318
0.826 0.267 0.094
0.826 0.733 0.559
0.938 0.756 0.182
0.500 0.500 0.000
0.000 0.000 0.000
0.105 0.605 0.500
0.331 0.000 0.331
0.669 0.000 0.669
0.895 0.395 0.500
```

---

Entry from Alexandria: crystalline VSi2GeS at its relaxed geometry (GGA-PBE).

## Properties
theoretical density: 3.4 Mg/m³
calculated volume: 20.6 Å³ per atom
SG: P4/mmm (123)
energy relative to the elements, uncorrected: 6.496 eV per formula unit
calculated total energy: -4.44 eV/atom
M_tot: 0.026 μB/f.u.

Structure (POSCAR):
```
VSi2GeS
1.0
4.657 0.000 0.000
0.000 4.657 0.000
0.000 0.000 4.744
V Si Ge S
1 2 1 1
direct
0.000 0.000 0.000
0.000 0.500 0.500
0.500 0.000 0.500
0.500 0.500 0.500
0.500 0.500 0.000
```

---

Entry from Alexandria: crystalline ZnMoAu2 at its relaxed geometry (GGA-PBE).

## Properties
theoretical density: 13.9 Mg/m³
calculated volume: 16.6 Å³ per atom
SG: P2/m (10)
ΔE_f: 164 meV per atom
calculated total energy: -4.50 eV/atom
M_tot: 0.000 μB/f.u.

Structure (POSCAR):
```
ZnMoAu2
1.0
2.778 0.000 0.000
0.000 4.119 0.000
-0.360 0.000 5.791
Zn Mo Au
1 1 2
direct
0.000 0.000 0.000
0.000 0.000 0.500
0.471 0.500 0.251
0.529 0.500 0.749
```

---

Entry from Alexandria: crystalline Ce4NdU3N8 at its relaxed geometry (GGA-PBE).

## Properties
theoretical density: 10.3 Mg/m³
calculated volume: 15.4 Å³ per atom
SG: R-3m (166)
energy relative to the elements, uncorrected: -22.971 eV per formula unit
calculated total energy: -9.50 eV/atom
M_tot: 2.436 μB/f.u.

Structure (POSCAR):
```
Ce4NdU3N8
1.0
3.515 2.029 5.771
-3.515 2.029 5.771
0.000 -4.059 5.771
Ce Nd U N
4 1 3 8
direct
0.000 0.000 0.000
0.000 0.500 0.500
0.500 0.000 0.500
0.500 0.500 0.000
0.500 0.500 0.500
0.000 0.000 0.500
0.000 0.500 0.000
0.500 0.000 0.000
0.219 0.753 0.753
0.240 0.240 0.240
0.247 0.247 0.781
0.247 0.781 0.247
0.753 0.219 0.753
0.753 0.753 0.219
0.760 0.760 0.760
0.781 0.247 0.247
```

---

Entry from Alexandria: crystalline LiZn8Ag3 at its relaxed geometry (GGA-PBE).

## Properties
theoretical density: 7.6 Mg/m³
calculated volume: 15.6 Å³ per atom
SG: P3m1 (156)
ΔE_f: -84 meV per atom
calculated total energy: -1.81 eV/atom
polymorph energy (0 for the lowest one): 0.000 eV per atom
M_tot: 0.000 μB/f.u.

Structure (POSCAR):
```
LiZn8Ag3
1.0
5.086 0.000 0.000
-2.543 4.405 0.000
0.000 0.000 8.380
Li Zn Ag
1 8 3
direct
0.000 0.000 0.000
0.163 0.326 0.695
0.163 0.837 0.695
0.333 0.667 0.444
0.333 0.667 0.943
0.503 0.006 0.192
0.503 0.497 0.192
0.674 0.837 0.695
0.994 0.497 0.192
0.000 0.000 0.372
0.667 0.333 0.500
0.667 0.333 0.889
```